DFT (PBE-GGA) results for an optimized crystal structure of Ca2NbO.

Cell and atoms, written as extended XYZ:
```
8
Lattice="6.746 0.000 0.000 0.000 6.746 0.000 3.373 3.373 4.349" Properties=species:S:1:pos:R:3 pbc="T T T"
Ca 4.181 1.686 1.087
Ca 5.059 5.938 3.262
Ca 8.432 7.554 3.262
Ca 2.565 5.059 1.087
Nb 6.746 3.373 2.174
Nb 0.000 0.000 0.000
O 3.373 6.746 2.174
O 3.373 3.373 0.000
```

Summary:
N(E_F) (states/eV per atom): 0.31
Theoretical density (kg/m³): 3173
Total DFT energy (no corrections) (eV per atom): -5.138